# PBE-GGA La2Pd5PtAu2, relaxed
# formation energy from the elements	-0.579	eV per atom
# crystal system	tetragonal
data_La2Pd5PtAu2
_cell_length_a 9.789
_cell_length_b 9.789
_cell_length_c 4.137
_cell_angle_alpha 90.00
_cell_angle_beta 90.00
_cell_angle_gamma 90.00
_space_group_name_H-M_alt 'P 4/m b m'
_space_group_IT_number 127
_space_group_name_Hall '-P 4 2ab'
loop_
_atom_site_label
_atom_site_type_symbol
_atom_site_fract_x
_atom_site_fract_y
_atom_site_fract_z
_atom_site_occupancy
La1 La 0.178 0.322 0.000 1
Pd1 Pd 0.000 0.500 0.500 1
Pd2 Pd 0.053 0.802 0.500 1
Pt1 Pt 0.000 0.000 0.000 1
Au1 Au 0.122 0.622 0.000 1